8
Lattice="5.034 0.000 0.000 0.000 5.034 0.000 2.517 2.517 4.915" Properties=species:S:1:pos:R:3 comment="Co2ClO (PBE+U, relaxed)" e_tot_ev_per_cell=-38.26 spacegroup=I-42d vol_a3_per_atom=15.57 e_above_lowest_polymorph_mev_per_atom=0.0 n_ef_per_ev_cell=3.49 pbc="T T T"
Cl 5.034 2.517 2.458
Co 3.776 4.169 3.686
Cl 0.000 0.000 0.000
Co 1.652 3.776 1.229
O 2.517 5.034 2.458
O 2.517 2.517 0.000
Co 3.382 1.259 1.229
Co 6.293 5.899 3.686